Below is a relaxed Al12Zn6Ga crystal, with properties calculated at the PBE level.

Unit cell a=11.1363 b=11.1363 c=10.2234 alpha=90.00 beta=90.00 gamma=120.00
Space group R-3 (No. 148, hexagonal axes)
Asymmetric unit:
Al 0.0481 0.7996 0.4248 x18
Al 0.0495 0.8071 0.9232 x18
Zn 0.0422 0.8237 0.1772 x18
Ga 0.0000 0.0000 0.5000 x3

Calculated values
Volume ... 366 Å³/f.u.
DOS at the Fermi energy ... 5.08 states/eV/f.u.
DFT formation energy ... 2.55 eV per formula unit